Computed, not measured: a geometry-optimized La2PuScTe4 structure at the GGA-PBE level of DFT.

The calculation puts the spin magnetization at 6.06 μB per cell. The calculation puts the density of states at the Fermi level at 13.21 states/eV per cell. The calculation puts the uncorrected formation energy at -1.334 eV per atom.

The structure belongs to space group P2/m (No. 10); the cell edges are 7.680, 4.415 and 7.742 Å and the angles 90.00°, 109.08° and 90.00°. The distinct sites, in fractional coordinates, are La at (0.000, 0.000, 0.000), La at (0.500, 0.500, 0.000), Pu at (0.000, 0.500, 0.500), Sc at (0.500, 0.000, 0.500), Te at (0.253, 0.000, 0.733) and Te at (0.267, 0.500, 0.274).